[1]
Sr2AgCl | PBE | optimized geometry

Summary:
E_tot = -2.821 eV per atom
size of the total moment = 0.0000 μB/atom
space group = Immm
excess energy over the best structure of this formula in the dataset = 171 meV per atom
formation energy without anion corrections = -805 meV/atom

Geometry as extended XYZ:
```
4
Lattice="-2.255 3.379 4.437 2.255 -3.379 4.437 2.255 3.379 -4.437" Properties=species:S:1:pos:R:3 pbc="T T T"
Sr 0.000 0.000 2.026
Sr 0.000 0.000 6.849
Ag 0.000 3.379 0.000
Cl 2.255 0.000 0.000
```

***

[2]
Sr2Ag2Cl | PBE | optimized geometry

Summary:
E_tot = -2.944 eV per atom
size of the total moment = 0.0000 μB/atom
space group = P4/mbm
formation energy without anion corrections = -762 meV/atom

Geometry as extended XYZ:
```
10
Lattice="8.459 0.000 0.000 0.000 8.459 0.000 0.000 0.000 4.413" Properties=species:S:1:pos:R:3 pbc="T T T"
Sr 1.554 2.676 0.000
Sr 2.676 6.905 0.000
Sr 5.783 1.554 0.000
Sr 6.905 5.783 0.000
Ag 0.972 5.201 2.207
Ag 3.258 0.972 2.207
Ag 5.201 7.487 2.207
Ag 7.487 3.258 2.207
Cl 0.000 0.000 0.000
Cl 4.230 4.230 0.000
```

***

[3]
SrAg5Cl12 | PBE | optimized geometry

Summary:
E_tot = -2.775 eV per atom
size of the total moment = 0.1323 μB/atom
space group = P-1
formation energy without anion corrections = -659 meV/atom

Geometry as extended XYZ:
```
18
Lattice="6.795 0.000 0.000 2.462 6.336 0.000 2.406 -0.352 12.222" Properties=species:S:1:pos:R:3 pbc="T T T"
Sr 0.000 0.000 0.000
Ag 3.973 4.050 6.138
Ag 5.448 1.729 12.221
Ag 4.600 -0.176 6.111
Ag 6.215 4.255 0.001
Ag 7.690 1.935 6.084
Cl 3.567 1.732 10.652
Cl 2.944 2.284 4.717
Cl 5.026 5.825 7.534
Cl 2.364 0.326 1.569
Cl 6.446 3.676 10.974
Cl 5.987 4.386 4.726
Cl 5.676 1.598 7.496
Cl 5.217 2.309 1.248
Cl 9.299 5.658 10.654
Cl 6.637 0.159 4.688
Cl 8.719 3.701 7.505
Cl 8.096 4.253 1.570
```

***

[4]
Sr5Ag2Cl12 | PBE | optimized geometry

Summary:
E_tot = -3.928 eV per atom
size of the total moment = 0.0000 μB/atom
space group = C2/m
formation energy without anion corrections = -2019 meV/atom

Geometry as extended XYZ:
```
19
Lattice="8.162 -3.741 0.000 8.162 3.741 0.000 -2.751 0.000 9.157" Properties=species:S:1:pos:R:3 pbc="T T T"
Sr 0.000 0.000 0.000
Sr 4.628 0.000 1.399
Sr 3.420 0.000 5.973
Sr 10.153 0.000 3.184
Sr 8.945 0.000 7.758
Ag 6.786 2.010 4.578
Ag 6.786 -2.010 4.578
Cl -0.447 0.000 2.756
Cl 4.150 1.791 3.648
Cl 3.097 1.864 8.545
Cl 10.476 1.864 0.612
Cl 9.423 1.791 5.509
Cl 7.323 0.000 2.607
Cl 6.250 0.000 6.549
Cl 4.150 -1.791 3.648
Cl 3.097 -1.864 8.545
Cl 10.476 -1.864 0.612
Cl 9.423 -1.791 5.509
Cl 14.020 0.000 6.401
```

***

[5]
SrAgCl4 | PBE | optimized geometry

Summary:
E_tot = -3.355 eV per atom
size of the total moment = 0.0000 μB/atom
space group = Pmmn
excess energy over the best structure of this formula in the dataset = 0 meV per atom
formation energy without anion corrections = -1369 meV/atom

Geometry as extended XYZ:
```
12
Lattice="4.864 0.000 0.000 0.000 9.029 0.000 0.000 0.000 7.600" Properties=species:S:1:pos:R:3 pbc="T T T"
Sr 1.216 2.257 0.075
Sr 3.648 6.772 7.525
Ag 1.216 6.772 3.188
Ag 3.648 2.257 4.412
Cl 1.216 2.257 4.528
Cl 1.216 5.103 1.125
Cl 1.216 6.772 5.627
Cl 1.216 8.441 1.125
Cl 3.648 0.588 6.475
Cl 3.648 2.257 1.973
Cl 3.648 3.926 6.475
Cl 3.648 6.772 3.072
```

***

[6]
Sr2AgCl4 | PBE | optimized geometry

Summary:
E_tot = -3.418 eV per atom
size of the total moment = 0.0351 μB/atom
space group = I4/mmm
formation energy without anion corrections = -1475 meV/atom

Geometry as extended XYZ:
```
7
Lattice="-2.614 2.614 7.873 2.614 -2.614 7.873 2.614 2.614 -7.873" Properties=species:S:1:pos:R:3 pbc="T T T"
Sr 0.000 0.000 2.016
Sr 0.000 0.000 13.731
Ag 0.000 0.000 7.873
Cl 2.614 0.000 0.000
Cl 0.000 0.000 4.807
Cl 0.000 2.614 0.000
Cl 0.000 0.000 10.939
```

***

[7]
SrAg7Cl12 | PBE | optimized geometry

Summary:
E_tot = -2.866 eV per atom
size of the total moment = 0.0000 μB/atom
space group = Im-3
formation energy without anion corrections = -676 meV/atom

Geometry as extended XYZ:
```
20
Lattice="-4.947 4.947 4.947 4.947 -4.947 4.947 4.947 4.947 -4.947" Properties=species:S:1:pos:R:3 pbc="T T T"
Sr 0.000 0.000 0.000
Ag 2.473 2.473 -2.473
Ag 2.473 -2.473 2.473
Ag 4.947 0.000 0.000
Ag -2.473 2.473 2.473
Ag 0.000 4.947 0.000
Ag 0.000 0.000 4.947
Ag 2.473 2.473 2.473
Cl 4.947 3.240 -1.995
Cl 2.952 0.000 1.707
Cl 6.942 0.000 1.707
Cl 1.707 2.952 0.000
Cl 3.240 -1.995 4.947
Cl 0.000 1.707 2.952
Cl 4.947 3.240 1.995
Cl 1.707 6.942 0.000
Cl 3.240 1.995 4.947
Cl -1.995 4.947 3.240
Cl 1.995 4.947 3.240
Cl 0.000 1.707 6.942
```

***

[8]
Sr2AgCl | PBE | optimized geometry

Summary:
E_tot = -2.978 eV per atom
size of the total moment = 0.0000 μB/atom
space group = P2/m
excess energy over the best structure of this formula in the dataset = 14 meV per atom
formation energy without anion corrections = -963 meV/atom

Geometry as extended XYZ:
```
4
Lattice="4.128 0.000 0.000 0.000 3.904 0.000 -0.018 0.000 8.438" Properties=species:S:1:pos:R:3 pbc="T T T"
Sr 0.003 0.000 1.874
Sr 4.107 0.000 6.564
Ag 2.064 1.952 0.000
Cl -0.009 1.952 4.219
```